AcPr6Tl3: optimized geometry, PBE.

- Calculated volume: 35.42 A^3/atom
- VASP energy: -4.161 eV/atom
- Magnetization: 0.000 μB/f.u.
- E_form: -4.0 kcal/mol of atoms

a = 12.1196 Å, b = 13.0480 Å, c = 8.9583 Å
α = 90.00°, β = 90.00°, γ = 90.00°
Space group Cmc2_1 (No. 36)
Inequivalent atoms, fractional coordinates:
Ac 0.0000 0.1870 0.0000 (multiplicity 4)
Pr 0.0000 0.2592 0.5793 (multiplicity 4)
Pr 0.0000 0.4741 0.2020 (multiplicity 4)
Pr 0.1764 0.0649 0.6578 (multiplicity 8)
Pr 0.2486 0.1804 0.3013 (multiplicity 8)
Tl 0.0000 0.0664 0.3556 (multiplicity 4)
Tl 0.1874 0.4122 0.4583 (multiplicity 8)



Cs3CuHg: optimized geometry, PBE.

- Excess energy over the best structure of this formula in the dataset: 0.000 eV per formula unit
- Calculated volume: 66.70 A^3/atom
- VASP energy: -1.206 eV/atom
- Magnetization: 0.801 μB/f.u.
- E_form: 4.3 kcal/mol of atoms

a = 6.9347 Å, b = 6.9347 Å, c = 6.9347 Å
α = 90.00°, β = 90.00°, γ = 90.00°
Space group Pm-3m (No. 221)
Inequivalent atoms, fractional coordinates:
Cs 0.0000 0.0000 0.5000 (multiplicity 3)
Cu 0.0000 0.0000 0.0000 (multiplicity 1)
Hg 0.5000 0.5000 0.5000 (multiplicity 1)



BaMo5: optimized geometry, PBE.

- Excess energy over the best structure of this formula in the dataset: 1.182 eV per formula unit
- Calculated volume: 20.78 A^3/atom
- VASP energy: -8.648 eV/atom
- Magnetization: 0.000 μB/f.u.
- E_form: 16.1 kcal/mol of atoms

a = 5.9119 Å, b = 5.9119 Å, c = 4.1197 Å
α = 90.00°, β = 90.00°, γ = 120.00°
Space group P6/mmm (No. 191)
Inequivalent atoms, fractional coordinates:
Ba 0.0000 0.0000 0.0000 (multiplicity 1)
Mo 0.0000 0.5000 0.5000 (multiplicity 3)
Mo 0.3333 0.6667 0.0000 (multiplicity 2)